Entry from the Alexandria database: an optimized crystal structure of EuCdCuAu (PBE).

Cell: 7.052 7.052 7.052 Å, 90.00 90.00 90.00°
Space group F-43m (No. 216)
Inequivalent atoms, fractional coordinates:
Eu (0.000, 0.000, 0.000)
Cd (0.000, 0.000, 0.500)
Cu (0.250, 0.250, 0.250)
Au (0.250, 0.250, 0.750)


Entry from the Alexandria database: an optimized crystal structure of BaGe6Pd12 (PBE).

Cell: 11.5705 11.5705 8.7569 Å, 90.00 90.00 120.00°
Space group R-3m (No. 166, hexagonal axes)
Inequivalent atoms, fractional coordinates:
Ba (0.0000, 0.0000, 0.0000)
Ge (0.0428, 0.5214, 0.2749)
Pd (0.0000, 0.3738, 0.5000)
Pd (0.0891, 0.1782, 0.3516)


Calculated ΔH_f (0 K) in order - -0.31; -0.53 eV/atom